# 1
Crystalline ZrCd2FeCu at its relaxed geometry, computed with GGA-PBE.

Geometry as POSCAR:
```
ZrCd2FeCu
1.0
-3.285 1.721 4.181
3.026 -1.504 2.996
2.535 4.981 -0.059
Fe Cu Zr Cd
1 1 1 2
Direct
0.000 0.500 0.000
0.500 0.500 0.500
0.000 0.000 0.000
0.000 0.000 0.500
0.500 0.000 0.000
```

Values from the calculation:
The total magnetization is 1.319 μB per formula unit. Its crystal system is tetragonal. The calculation puts the energy of formation at 1.361 eV per atom. Its space-group type is No. 123. The calculation puts the density of states at the Fermi level at 4.7 states/eV/cell. As for the total DFT energy (no corrections): -16.1 eV per formula unit.

---

# 2
Crystalline CdGa2Cu at its relaxed geometry, computed with GGA-PBE.

Geometry as POSCAR:
```
CdGa2Cu
1.0
4.174 0.000 0.000
0.000 4.076 0.000
0.000 0.000 4.076
Cu Ga Cd
1 2 1
Direct
0.500 0.000 0.000
0.000 0.000 0.500
0.000 0.500 0.000
0.500 0.500 0.500
```

Values from the calculation:
The total magnetization is 0.000 μB per formula unit. Its crystal system is tetragonal. The calculation puts the energy of formation at 0.108 eV per atom. Its space-group type is No. 123. The calculation puts the density of states at the Fermi level at 1.6 states/eV/cell. As for the total DFT energy (no corrections): -10.6 eV per formula unit.

---

# 3
Crystalline Cd3GaCu at its relaxed geometry, computed with GGA-PBE.

Geometry as POSCAR:
```
Cd3GaCu
1.0
-2.961 3.211 2.458
-3.519 -0.545 -3.527
-1.993 -3.809 2.577
Cu Ga Cd
1 1 3
Direct
0.000 0.000 0.000
0.500 0.500 0.500
0.000 0.500 0.000
0.000 0.000 0.500
0.500 0.000 0.000
```

Values from the calculation:
The total magnetization is 0.000 μB per formula unit. Its crystal system is cubic. The calculation puts the energy of formation at 0.247 eV per atom. Its excess energy over the best structure of this formula in the dataset is 0 kJ/mol of formula units. Its space-group type is No. 221. The calculation puts the density of states at the Fermi level at 1.7 states/eV/cell. As for the total DFT energy (no corrections): -8.6 eV per formula unit.